[1]
{"formula": "LaPm2Pr2Mg", "functional": "GGA-PBE", "state": "relaxed", "cell": [[-2.105, -0.631, -2.715], [2.216, -5.838, -0.362], [-13.662, -5.928, 11.972]], "species": ["Pr", "Pr", "Pr", "Pr", "La", "La", "Pm", "Pm", "Pm", "Pm", "Mg", "Mg"], "fractional_positions": [[0.000, 0.664, 0.863], [0.500, 0.836, 0.363], [0.000, 0.336, 0.137], [0.500, 0.164, 0.637], [0.500, 0.500, 0.500], [0.000, 0.000, 0.000], [0.000, 0.837, 0.202], [0.000, 0.163, 0.798], [0.500, 0.663, 0.702], [0.500, 0.337, 0.298], [0.000, 0.000, 0.500], [0.500, 0.500, 0.000]], "formation_enthalpy_0k_ev_per_atom": 0.20, "m_tot_mub_per_atom": 0.03, "total_energy_ev_per_fu": -24.4, "volume_a3_per_fu": 208.7}

***

[2]
{"formula": "LiInHg2S4", "functional": "GGA-PBE", "state": "relaxed", "cell": [[-6.660, 0.081, -1.164], [0.612, -5.942, -3.914], [-1.246, -4.614, 6.809]], "species": ["S", "S", "S", "S", "S", "S", "S", "S", "Hg", "Hg", "Hg", "Hg", "In", "In", "Li", "Li"], "fractional_positions": [[0.361, 0.155, 0.000], [0.369, 0.155, 0.500], [0.869, 0.845, 0.000], [0.385, 0.675, 0.253], [0.885, 0.325, 0.753], [0.861, 0.845, 0.500], [0.385, 0.675, 0.747], [0.885, 0.325, 0.247], [0.001, 0.672, 0.749], [0.501, 0.328, 0.249], [0.501, 0.328, 0.751], [0.001, 0.672, 0.251], [0.999, 0.170, 0.500], [0.499, 0.830, 0.000], [0.998, 0.165, 0.000], [0.498, 0.835, 0.500]], "m_tot_mub_per_atom": 0.00, "total_energy_ev_per_fu": -26.0, "volume_a3_per_fu": 200.9, "formation_energy_uncorrected_mev_per_atom": -532}

***

[3]
{"formula": "LiPaSn6", "functional": "GGA-PBE", "state": "relaxed", "cell": [[4.594, 0.000, 0.000], [0.000, 4.594, 0.000], [0.000, 0.000, 9.507]], "species": ["Sn", "Sn", "Sn", "Sn", "Sn", "Sn", "Li", "Pa"], "fractional_positions": [[0.500, 0.500, 0.500], [0.500, 0.000, 0.256], [0.500, 0.000, 0.744], [0.000, 0.500, 0.744], [0.500, 0.500, 0.000], [0.000, 0.500, 0.256], [0.000, 0.000, 0.500], [0.000, 0.000, 0.000]], "formation_enthalpy_0k_ev_per_atom": -0.18, "m_tot_mub_per_atom": 0.00, "total_energy_ev_per_fu": -36.9, "volume_a3_per_fu": 200.6}

***

[4]
{"formula": "Ba2ZrSc", "functional": "GGA-PBE", "state": "relaxed", "cell": [[-0.380, -2.447, -2.642], [5.346, 0.099, -0.860], [0.873, -5.335, 4.814]], "species": ["Zr", "Ba", "Ba", "Sc"], "fractional_positions": [[0.500, 0.500, 0.750], [0.000, 0.000, 0.506], [0.000, 0.000, 0.994], [0.500, 0.500, 0.250]], "formation_enthalpy_0k_ev_per_atom": 0.64, "m_tot_mub_per_atom": 0.00, "total_energy_ev_per_fu": -16.2, "volume_a3_per_fu": 141.9}

***

[5]
{"formula": "TaMnCoSi", "functional": "GGA-PBE", "state": "relaxed", "cell": [[-1.751, 1.843, 3.278], [1.862, -0.150, 3.704], [1.700, 3.425, 1.607]], "species": ["Ta", "Mn", "Si", "Co"], "fractional_positions": [[0.500, 0.500, 0.500], [0.250, 0.250, 0.250], [0.000, 0.000, 0.000], [0.750, 0.750, 0.750]], "m_tot_mub_per_atom": 0.25, "total_energy_ev_per_fu": -35.0, "volume_a3_per_fu": 50.5, "formation_energy_uncorrected_mev_per_atom": -369}

***

[6]
{"formula": "AlCo2W", "functional": "GGA-PBE", "state": "relaxed", "cell": [[-2.424, 3.073, -2.554], [-1.346, -1.614, -4.174], [-0.275, -1.580, 4.390]], "species": ["Co", "Co", "Al", "W"], "fractional_positions": [[0.000, 0.000, 0.000], [0.250, 0.750, 0.500], [0.750, 0.250, 0.500], [0.500, 0.500, 0.000]], "formation_enthalpy_0k_ev_per_atom": -0.09, "m_tot_mub_per_atom": 0.00, "total_energy_ev_per_fu": -31.3, "volume_a3_per_fu": 50.5}

***

[7]
{"formula": "Tb2Sm2Tm5", "functional": "GGA-PBE", "state": "relaxed", "cell": [[-5.279, -3.551, -9.806], [0.640, -6.350, 1.955], [-4.267, 5.335, 7.332]], "species": ["Sm", "Sm", "Sm", "Sm", "Tb", "Tb", "Tb", "Tb", "Tm", "Tm", "Tm", "Tm", "Tm", "Tm", "Tm", "Tm", "Tm", "Tm"], "fractional_positions": [[0.000, 0.006, 0.000], [0.737, 0.858, 0.500], [0.263, 0.358, 0.500], [0.500, 0.506, 0.000], [0.880, 0.430, 0.746], [0.634, 0.184, 0.254], [0.366, 0.930, 0.746], [0.120, 0.684, 0.254], [0.379, 0.037, 0.284], [0.002, 0.152, 0.500], [0.205, 0.654, 0.893], [0.405, 0.537, 0.284], [0.812, 0.261, 0.107], [0.595, 0.253, 0.716], [0.998, 0.652, 0.500], [0.621, 0.753, 0.716], [0.188, 0.154, 0.893], [0.795, 0.761, 0.107]], "formation_enthalpy_0k_ev_per_atom": 0.22, "m_tot_mub_per_atom": 0.00, "total_energy_ev_per_fu": -39.1, "volume_a3_per_fu": 289.7}

***

[8]
{"formula": "InSi2Pt", "functional": "GGA-PBE", "state": "relaxed", "cell": [[-2.979, -0.230, -3.492], [-1.940, -1.866, 3.725], [-1.305, 3.162, 0.904]], "species": ["Pt", "Si", "Si", "In"], "fractional_positions": [[0.000, 0.500, 0.500], [0.500, 0.500, 0.000], [0.000, 0.000, 0.000], [0.500, 0.000, 0.500]], "m_tot_mub_per_atom": 0.00, "total_energy_ev_per_fu": -18.8, "volume_a3_per_fu": 70.7, "formation_energy_uncorrected_mev_per_atom": 205}

***

[9]
{"formula": "TmCl", "functional": "GGA-PBE", "state": "relaxed", "cell": [[-1.497, -3.304, 0.606], [1.876, -0.263, 3.200], [-7.414, 4.248, 4.844]], "species": ["Tm", "Tm", "Cl", "Cl"], "fractional_positions": [[0.250, 0.254, 0.371], [0.750, 0.746, 0.629], [0.250, 0.739, 0.816], [0.750, 0.261, 0.184]], "m_tot_mub_per_atom": 0.00, "total_energy_ev_per_fu": -8.9, "volume_a3_per_fu": 67.2, "formation_energy_uncorrected_mev_per_atom": -1282}

***

[10]
{"formula": "InCuHg", "functional": "GGA-PBE", "state": "relaxed", "cell": [[-4.196, 3.303, 4.059], [-2.728, 1.341, 5.980], [1.737, 2.348, 1.078]], "species": ["Cu", "In", "Hg"], "fractional_positions": [[0.000, 0.000, 0.000], [0.645, 0.645, 0.355], [0.355, 0.355, 0.645]], "formation_enthalpy_0k_ev_per_atom": 0.16, "m_tot_mub_per_atom": 0.00, "total_energy_ev_per_fu": -6.7, "volume_a3_per_fu": 61.4}

***

[11]
{"formula": "MnGePN", "functional": "GGA-PBE", "state": "relaxed", "cell": [[-4.231, -0.352, -1.633], [-1.052, -0.440, 2.823], [1.588, 7.407, 1.747]], "species": ["Mn", "Mn", "P", "P", "Ge", "Ge", "N", "N"], "fractional_positions": [[0.133, 0.500, 0.959], [0.133, 0.000, 0.459], [0.958, 0.000, 0.724], [0.958, 0.500, 0.224], [0.555, 0.500, 0.838], [0.555, 0.000, 0.338], [0.534, 0.000, 0.669], [0.534, 0.500, 0.169]], "m_tot_mub_per_atom": 0.24, "total_energy_ev_per_fu": -27.3, "volume_a3_per_fu": 50.5, "formation_energy_uncorrected_mev_per_atom": 47}

***

[12]
{"formula": "Pr2Nd8Sc", "functional": "GGA-PBE", "state": "relaxed", "cell": [[0.130, 1.616, -4.913], [-4.280, -6.562, -2.271], [-6.410, 5.689, 4.425]], "species": ["Sc", "Nd", "Nd", "Nd", "Nd", "Nd", "Nd", "Nd", "Nd", "Pr", "Pr"], "fractional_positions": [[0.500, 0.000, 0.000], [0.955, 0.268, 0.911], [0.134, 0.176, 0.268], [0.866, 0.824, 0.732], [0.321, 0.091, 0.642], [0.411, 0.554, 0.822], [0.589, 0.446, 0.178], [0.679, 0.909, 0.358], [0.045, 0.732, 0.089], [0.774, 0.364, 0.548], [0.226, 0.636, 0.452]], "formation_enthalpy_0k_ev_per_atom": 0.03, "m_tot_mub_per_atom": 0.00, "total_energy_ev_per_fu": -53.7, "volume_a3_per_fu": 378.3}

***

[13]
{"formula": "LiCeGe2Au", "functional": "GGA-PBE", "state": "relaxed", "cell": [[4.212, 0.000, 0.000], [0.000, 4.212, 0.000], [-2.106, -2.106, 5.516]], "species": ["Au", "Li", "Ge", "Ge", "Ce"], "fractional_positions": [[0.750, 0.250, 0.500], [0.250, 0.750, 0.500], [0.389, 0.389, 0.778], [0.611, 0.611, 0.222], [0.000, 0.000, 0.000]], "formation_enthalpy_0k_ev_per_atom": -0.63, "m_tot_mub_per_atom": 0.14, "total_energy_ev_per_fu": -23.5, "volume_a3_per_fu": 97.9}

***

[14]
{"formula": "DyScCl6", "functional": "GGA-PBE", "state": "relaxed", "cell": [[6.362, 0.117, 0.812], [1.350, 5.472, 3.071], [0.022, -0.215, 7.080]], "species": ["Sc", "Cl", "Cl", "Cl", "Cl", "Cl", "Cl", "Dy"], "fractional_positions": [[0.000, 0.000, 0.000], [0.238, 0.901, 0.725], [0.762, 0.374, 0.725], [0.758, 0.755, 0.000], [0.242, 0.245, 0.000], [0.762, 0.099, 0.275], [0.238, 0.626, 0.275], [0.500, 0.500, 0.000]], "m_tot_mub_per_atom": 0.00, "total_energy_ev_per_fu": -39.3, "volume_a3_per_fu": 249.2, "formation_energy_uncorrected_mev_per_atom": -2161}

***

[15]
{"formula": "BaSrRu2", "functional": "GGA-PBE", "state": "relaxed", "cell": [[-0.411, 0.574, 5.995], [0.076, -3.491, 4.925], [5.724, -0.633, 5.004]], "species": ["Sr", "Ru", "Ru", "Ba"], "fractional_positions": [[0.750, 0.750, 0.750], [0.513, 0.513, 0.672], [0.987, 0.987, 0.828], [0.250, 0.250, 0.250]], "formation_enthalpy_0k_ev_per_atom": 0.39, "m_tot_mub_per_atom": 0.00, "total_energy_ev_per_fu": -20.6, "volume_a3_per_fu": 141.4}

***

[16]
{"formula": "GaSiNi6", "functional": "GGA-PBE", "state": "relaxed", "cell": [[-1.357, -4.900, -3.441], [6.095, 0.480, 0.554], [-0.299, -5.694, 8.226]], "species": ["Ni", "Ni", "Ni", "Ni", "Ni", "Ni", "Ni", "Ni", "Ni", "Ni", "Ni", "Ni", "Ni", "Ni", "Ni", "Ni", "Ni", "Ni", "Ni", "Ni", "Ni", "Ni", "Ni", "Ni", "Si", "Si", "Si", "Si", "Ga", "Ga", "Ga", "Ga"], "fractional_positions": [[0.120, 0.371, 0.378], [0.880, 0.629, 0.622], [0.500, 0.500, 0.500], [0.369, 0.120, 0.128], [0.500, 0.500, 0.000], [0.369, 0.120, 0.872], [0.629, 0.880, 0.378], [0.751, 0.249, 0.744], [0.249, 0.751, 0.744], [0.880, 0.629, 0.378], [0.000, 0.000, 0.000], [0.000, 0.000, 0.500], [0.371, 0.120, 0.378], [0.371, 0.120, 0.622], [0.751, 0.249, 0.256], [0.631, 0.880, 0.128], [0.120, 0.371, 0.622], [0.120, 0.369, 0.872], [0.120, 0.369, 0.128], [0.629, 0.880, 0.622], [0.631, 0.880, 0.872], [0.880, 0.631, 0.872], [0.249, 0.751, 0.256], [0.880, 0.631, 0.128], [0.747, 0.253, 0.500], [0.000, 0.000, 0.751], [0.253, 0.747, 0.500], [0.000, 0.000, 0.249], [0.500, 0.500, 0.249], [0.500, 0.500, 0.751], [0.253, 0.747, 0.000], [0.747, 0.253, 0.000]], "m_tot_mub_per_atom": 0.10, "total_energy_ev_per_fu": -46.1, "volume_a3_per_fu": 88.9, "formation_energy_uncorrected_mev_per_atom": -369}

***

[17]
{"formula": "Tm6Tl5Pb", "functional": "GGA-PBE", "state": "relaxed", "cell": [[-8.066, -3.849, 4.192], [-2.348, -3.624, -4.732], [1.791, -6.074, -0.574]], "species": ["Tm", "Tm", "Tm", "Tm", "Tm", "Tm", "Tl", "Tl", "Tl", "Tl", "Tl", "Pb"], "fractional_positions": [[0.748, 0.750, 0.000], [0.747, 0.085, 0.335], [0.252, 0.250, 0.000], [0.253, 0.580, 0.335], [0.747, 0.420, 0.665], [0.253, 0.915, 0.665], [0.000, 0.333, 0.334], [0.000, 0.667, 0.666], [0.500, 0.500, 0.000], [0.500, 0.166, 0.668], [0.500, 0.834, 0.332], [0.000, 0.000, 0.000]], "formation_enthalpy_0k_ev_per_atom": -0.26, "m_tot_mub_per_atom": 0.00, "total_energy_ev_per_fu": -45.4, "volume_a3_per_fu": 339.9}

***

[18]
{"formula": "Ag2Pt2Cl7", "functional": "GGA-PBE", "state": "relaxed", "cell": [[7.795, -0.322, -1.869], [-1.661, 7.623, -1.869], [-0.622, -0.740, 10.655]], "species": ["Cl", "Cl", "Cl", "Cl", "Cl", "Cl", "Cl", "Cl", "Cl", "Cl", "Cl", "Cl", "Cl", "Cl", "Ag", "Ag", "Ag", "Ag", "Pt", "Pt", "Pt", "Pt"], "fractional_positions": [[0.358, 0.997, 0.100], [0.357, 0.996, 0.601], [0.371, 0.370, 0.833], [0.997, 0.358, 0.600], [0.003, 0.642, 0.400], [0.000, 0.000, 0.250], [0.642, 0.003, 0.900], [0.630, 0.629, 0.667], [0.643, 0.004, 0.399], [0.004, 0.643, 0.899], [0.629, 0.630, 0.167], [0.000, 0.000, 0.750], [0.996, 0.357, 0.101], [0.370, 0.371, 0.333], [0.340, 0.661, 0.000], [0.661, 0.340, 0.500], [0.660, 0.339, 0.000], [0.339, 0.660, 0.500], [0.871, 0.871, 0.892], [0.129, 0.129, 0.608], [0.871, 0.871, 0.392], [0.129, 0.129, 0.108]], "m_tot_mub_per_atom": 0.00, "total_energy_ev_per_fu": -33.5, "volume_a3_per_fu": 302.5, "formation_energy_uncorrected_mev_per_atom": -253}

***

[19]
{"formula": "K2MgReO6", "functional": "GGA-PBE", "state": "relaxed", "cell": [[5.698, 0.000, 0.000], [2.849, 4.935, 0.000], [2.849, 1.645, 4.652]], "species": ["O", "O", "O", "O", "O", "O", "Mg", "K", "K", "Re"], "fractional_positions": [[0.236, 0.764, 0.764], [0.236, 0.764, 0.236], [0.764, 0.236, 0.764], [0.764, 0.236, 0.236], [0.236, 0.236, 0.764], [0.764, 0.764, 0.236], [0.500, 0.500, 0.500], [0.250, 0.250, 0.250], [0.750, 0.750, 0.750], [0.000, 0.000, 0.000]], "m_tot_mub_per_atom": 0.10, "total_energy_ev_per_fu": -63.9, "volume_a3_per_fu": 130.8, "formation_energy_uncorrected_mev_per_atom": -1793}

***

[20]
{"formula": "ZnPbF4", "functional": "GGA-PBE", "state": "relaxed", "cell": [[-1.633, -1.295, 5.336], [5.208, 0.910, 1.814], [-1.594, 5.265, 0.790]], "species": ["F", "F", "F", "F", "F", "F", "F", "F", "Pb", "Pb", "Zn", "Zn"], "fractional_positions": [[0.305, 0.224, 0.149], [0.805, 0.276, 0.851], [0.136, 0.895, 0.686], [0.636, 0.605, 0.314], [0.695, 0.776, 0.851], [0.195, 0.724, 0.149], [0.364, 0.395, 0.686], [0.864, 0.105, 0.314], [0.000, 0.500, 0.500], [0.500, 0.000, 0.500], [0.000, 0.000, 0.000], [0.500, 0.500, 0.000]], "m_tot_mub_per_atom": 0.00, "total_energy_ev_per_fu": -26.4, "volume_a3_per_fu": 88.8, "formation_energy_uncorrected_mev_per_atom": -2314}